Record 1
DFT (PBE) results for a relaxed Ga5Sn3Au12 crystal.

The space group is Ia-3d (No. 230) and the conventional cell measures 15.599, 15.599 and 15.599 Å, with angles of 90.00, 90.00 and 90.00 degrees. The inequivalent atoms are Ga at (0.000, 0.000, 0.000), Ga at (0.000, 0.250, 0.375), Sn at (0.000, 0.250, 0.125) and Au at (0.017, 0.073, 0.650).

The value obtained for the energy of formation from the pure elements is 0.004 eV/atom.


Record 2
DFT (PBE) results for a relaxed ZrAl crystal.

The space group is Pmmn (No. 59, origin choice 2) and the conventional cell measures 3.212, 4.099 and 6.087 Å, with angles of 90.00, 90.00 and 90.00 degrees. The inequivalent atoms are Zr at (0.250, 0.250, 0.129) and Al at (0.250, 0.250, 0.619).

The value obtained for the energy of formation from the pure elements is -0.174 eV/atom.


Record 3
DFT (PBE) results for a relaxed Zn2HgW crystal.

The space group is I-42d (No. 122) and the conventional cell measures 7.137, 7.137 and 5.638 Å, with angles of 90.00, 90.00 and 90.00 degrees. The inequivalent atoms are Zn at (0.249, 0.250, 0.125), Hg at (0.000, 0.000, 0.500) and W at (0.000, 0.000, 0.000).

The value obtained for the energy of formation from the pure elements is 0.807 eV/atom.


Record 4
DFT (PBE) results for a relaxed AlCu3Te crystal.

The space group is Pm-3m (No. 221) and the conventional cell measures 4.594, 4.594 and 4.594 Å, with angles of 90.00, 90.00 and 90.00 degrees. The inequivalent atoms are Al at (0.000, 0.000, 0.000), Cu at (0.000, 0.000, 0.500) and Te at (0.500, 0.500, 0.500).

The energy above the most stable polymorph in this dataset comes out at 0.00 eV per formula unit. The uncorrected formation energy comes out at 0.62 eV per atom.